Entry from the Alexandria database: a relaxed ReP2PtS crystal (PBE).

```
ReP2PtS
1.0
4.696 0.000 0.000
0.000 4.696 0.000
0.000 0.000 4.379
Re P Pt S
1 2 1 1
Direct
0.000 0.000 0.000
0.000 0.500 0.000
0.500 0.000 0.000
0.500 0.500 0.500
0.000 0.000 0.500
```

V (Å³/cell): 97
Formation energy from raw total energies (eV/atom): 0.8348
N(E_F) (states/eV per atom): 0.7769
Relative energy among the computed polymorphs (meV/atom): 0

---

Entry from the Alexandria database: a relaxed Y2HoHg3 crystal (PBE).

```
Y2HoHg3
1.0
3.726 0.000 0.000
0.000 3.726 0.000
0.000 0.000 11.138
Y Ho Hg
2 1 3
Direct
0.000 0.000 0.168
0.000 0.000 0.832
0.000 0.000 0.500
0.500 0.500 0.000
0.500 0.500 0.336
0.500 0.500 0.664
```

V (Å³/cell): 155
ΔH_f (0 K) (meV per atom): -501
N(E_F) (states/eV per atom): 0.9332

---

Entry from the Alexandria database: a relaxed Sn2BiPd6 crystal (PBE).

```
Sn2BiPd6
1.0
7.601 0.000 0.000
-3.800 6.582 0.000
0.000 0.000 3.244
Sn Bi Pd
2 1 6
Direct
0.333 0.667 0.000
0.667 0.333 0.000
0.000 0.000 0.500
0.000 0.303 0.000
0.000 0.626 0.500
0.303 0.000 0.000
0.374 0.374 0.500
0.626 0.000 0.500
0.697 0.697 0.000
```

V (Å³/cell): 162
ΔH_f (0 K) (meV per atom): -411
N(E_F) (states/eV per atom): 0.4674